No. 1
DFT (PBE) results for Sb2Pb2O7 after structural relaxation.

## Properties
SG: No. 227
Formation energy without anion corrections: -1.293 eV/atom

a = 7.6764 Å, b = 7.6764 Å, c = 7.6764 Å
α = 60.00°, β = 60.00°, γ = 60.00°
With the nearest neighbours (Å) after each atom.
Fractional coordinates of all 22 atoms:
O 0.5000 0.5000 0.5000  4 Pb 2.35
O 0.7500 0.7500 0.7500  4 Pb 2.35
O 0.1920 0.1920 0.8080  2 Sb 2.05
O 0.8080 0.8080 0.1920  2 Sb 2.05
O 0.1920 0.8080 0.8080  2 Sb 2.05
O 0.8080 0.1920 0.1920  2 Sb 2.05
O 0.8080 0.1920 0.8080  2 Sb 2.05
O 0.1920 0.8080 0.1920  2 Sb 2.05
O 0.4420 0.0580 0.0580  2 Sb 2.05
O 0.0580 0.4420 0.4420  2 Sb 2.05
O 0.4420 0.4420 0.0580  2 Sb 2.05
O 0.0580 0.0580 0.4420  2 Sb 2.05
O 0.4420 0.0580 0.4420  2 Sb 2.05
O 0.0580 0.4420 0.0580  2 Sb 2.05
Pb 0.6250 0.6250 0.1250  2 O 2.35
Pb 0.1250 0.6250 0.6250  2 O 2.35
Pb 0.6250 0.1250 0.6250  2 O 2.35
Pb 0.6250 0.6250 0.6250  2 O 2.35
Sb 0.1250 0.1250 0.6250  6 O 2.05
Sb 0.6250 0.1250 0.1250  6 O 2.05
Sb 0.1250 0.6250 0.1250  6 O 2.05
Sb 0.1250 0.1250 0.1250  6 O 2.05

---

No. 2
DFT (PBE) results for TbSmZnCu after structural relaxation.

## Properties
Calculated formation energy: -0.26 eV/atom
Excess energy over the best structure of this formula in the dataset: 0.62 kJ per mole of atoms
SG: No. 216

a = 5.0427 Å, b = 5.0427 Å, c = 5.0427 Å
α = 60.00°, β = 60.00°, γ = 60.00°
With the nearest neighbours (Å) after each atom.
Fractional coordinates of all 4 atoms:
Zn 0.5000 0.5000 0.5000  4 Sm 3.09, 4 Tb 3.09
Tb 0.7500 0.7500 0.7500  4 Cu 3.09, 4 Zn 3.09
Cu 0.0000 0.0000 0.0000  4 Tb 3.09, 4 Sm 3.09
Sm 0.2500 0.2500 0.2500  4 Zn 3.09, 4 Cu 3.09

---

No. 3
DFT (PBE) results for Li4AcBi after structural relaxation.

## Properties
Calculated formation energy: -0.15 eV/atom
SG: No. 216

a = 5.9671 Å, b = 5.9671 Å, c = 5.9671 Å
α = 60.00°, β = 60.00°, γ = 60.00°
With the nearest neighbours (Å) after each atom.
Fractional coordinates of all 6 atoms:
Ac 0.2500 0.2500 0.2500  12 Li 3.50, 4 Bi 3.65
Bi 0.0000 0.0000 0.0000  12 Li 3.50, 4 Ac 3.65
Li 0.6255 0.6255 0.1236  6 Li 2.97-2.99
Li 0.6255 0.1236 0.6255  6 Li 2.97-2.99
Li 0.6255 0.6255 0.6255  6 Li 2.97-2.99
Li 0.1236 0.6255 0.6255  6 Li 2.97-2.99

---

No. 4
DFT (PBE) results for NdTiTl after structural relaxation.

## Properties
Calculated formation energy: -0.07 eV/atom
SG: No. 129

a = 4.4015 Å, b = 4.4015 Å, c = 8.1921 Å
α = 90.00°, β = 90.00°, γ = 90.00°
With the nearest neighbours (Å) after each atom.
Fractional coordinates of all 6 atoms:
Nd 0.0000 0.5000 0.8423  5 Tl 3.22-3.41, 4 Ti 3.56
Nd 0.5000 0.0000 0.1577  5 Tl 3.22-3.41, 4 Ti 3.56
Tl 0.0000 0.5000 0.2587  4 Ti 2.96, 4 Nd 3.22
Tl 0.5000 0.0000 0.7413  4 Ti 2.96, 4 Nd 3.22
Ti 0.5000 0.5000 0.5000  4 Tl 2.96, 4 Ti 3.11
Ti 0.0000 0.0000 0.5000  4 Tl 2.96, 4 Ti 3.11

---

Number 1: density of states at the Fermi level 9.00 states/eV/cell. Number 2: density of states at the Fermi level 2.61 states/eV/cell. Number 3: density of states at the Fermi level 3.78 states/eV/cell. Number 4: density of states at the Fermi level 8.13 states/eV/cell.